# LiRuRh

A geometry-optimized LiRuRh structure (PBE-GGA, Alexandria).

a b c (Å): 8.2389 4.4869 4.4869
angles (deg): 130.02 134.76 45.24
Last column: nearest neighbours and their distance in Å.
Fractional coordinates of all 6 atoms:
Ru: 0.9210 0.4124 0.5876  3 Ru 2.57-2.63, 5 Li 2.58-2.71, 4 Rh 2.64-2.80
Li: 0.7382 0.2607 0.7393  5 Rh 2.50-2.70, 5 Ru 2.58-2.71, 1 Li 2.61
Rh: 0.4050 0.9201 0.0799  5 Li 2.50-2.70, 3 Rh 2.64-2.70, 3 Ru 2.64-2.67
Ru: 0.0790 0.5876 0.4124  3 Ru 2.57-2.63, 5 Li 2.58-2.71, 4 Rh 2.64-2.80
Rh: 0.5950 0.0799 0.9201  5 Li 2.50-2.70, 3 Rh 2.64-2.70, 3 Ru 2.64-2.67
Li: 0.2618 0.7393 0.2607  5 Rh 2.50-2.70, 5 Ru 2.58-2.71, 1 Li 2.61

Values from the calculation:
DOS(E_F)	0.99	states/eV/atom
mass density	8.8	g/cm3
magnetization	0.000	Bohr magnetons per cell
crystal system	monoclinic
energy above the lowest structure with this stoichiometry	4	kJ/mol of formula units



# AcAgPtO4

A geometry-optimized AcAgPtO4 structure (PBE-GGA, Alexandria).

a b c (Å): 6.2004 7.0872 8.2013
angles (deg): 125.35 90.00 115.94
Last column: nearest neighbours and their distance in Å.
Fractional coordinates of all 14 atoms:
Ag: 0.2249 0.4497 0.9749  4 O 2.15-2.17
Ac: 0.5000 0.0000 0.0000  6 O 2.50-2.63
O: 0.2568 0.5136 0.3516  2 Pt 2.01
O: 0.2568 0.5136 0.6621  2 Pt 2.01
O: 0.8136 0.1980 0.8490  2 Ag 2.15-2.17
O: 0.1864 0.8020 0.1510  2 Ag 2.15-2.17
O: 0.6156 0.8020 0.1510  2 Ag 2.15-2.17
O: 0.7432 0.4864 0.3379  2 Pt 2.01
O: 0.3844 0.1980 0.8490  2 Ag 2.15-2.17
Ag: 0.7751 0.5503 0.0251  4 O 2.15-2.17
O: 0.7432 0.4864 0.6484  2 Pt 2.01
Ac: 0.5000 0.0000 0.5000  6 O 2.50-2.63
Pt: 0.5000 0.5000 0.5000  4 O 2.01
Pt: 0.0000 0.5000 0.5000  4 O 2.01

Values from the calculation:
DOS(E_F)	0.62	states/eV/atom
mass density	8.0	g/cm3
uncorrected formation energy	-8.7	eV per formula unit
magnetization	1.719	Bohr magnetons per cell
crystal system	orthorhombic



# VCuSi2

A geometry-optimized VCuSi2 structure (PBE-GGA, Alexandria).

a b c (Å): 3.1517 3.1517 5.1981
angles (deg): 90.00 90.00 90.00
Last column: nearest neighbours and their distance in Å.
Fractional coordinates of all 4 atoms:
Si: 0.0000 0.0000 0.7473  2 Si 2.57-2.63, 4 V 2.57, 4 Cu 2.59
Si: 0.0000 0.0000 0.2527  2 Si 2.57-2.63, 4 V 2.57, 4 Cu 2.59
Cu: 0.5000 0.5000 0.0000  8 Si 2.59, 2 V 2.60
V: 0.5000 0.5000 0.5000  8 Si 2.57, 2 Cu 2.60

Values from the calculation:
DOS(E_F)	0.70	states/eV/atom
mass density	5.5	g/cm3
uncorrected formation energy	-0.3	eV per formula unit
magnetization	0.000	Bohr magnetons per cell
crystal system	tetragonal



# NiAg4Mo

A geometry-optimized NiAg4Mo structure (PBE-GGA, Alexandria).

a b c (Å): 5.3476 5.3476 5.3476
angles (deg): 60.00 60.00 60.00
Last column: nearest neighbours and their distance in Å.
Fractional coordinates of all 6 atoms:
Ag: 0.8753 0.3749 0.3749  6 Ag 2.67-2.68
Ni: 0.0000 0.0000 0.0000  12 Ag 3.14, 4 Mo 3.27
Mo: 0.7500 0.7500 0.7500  12 Ag 3.14, 4 Ni 3.27
Ag: 0.3749 0.3749 0.3749  6 Ag 2.67-2.68
Ag: 0.3749 0.8753 0.3749  6 Ag 2.67-2.68
Ag: 0.3749 0.3749 0.8753  6 Ag 2.67-2.68

Values from the calculation:
DOS(E_F)	0.94	states/eV/atom
mass density	9.0	g/cm3
magnetization	3.446	Bohr magnetons per cell
crystal system	cubic
energy	-3.90	eV/atom